# 1
# SnPd2Au8

SnPd2Au8 after structural relaxation (PBE, Alexandria via LeMat-Bulk).

Energy relative to the lowest polymorph listed for this composition = 9.1 kJ per mole of atoms

The structure in CIF format:
```
data_SnPd2Au8
_space_group_name_H-M_alt 'P 1'
_space_group_IT_number 1
_cell_length_a 7.2866
_cell_length_b 7.2866
_cell_length_c 4.7747
_cell_angle_alpha 100.64
_cell_angle_beta 100.64
_cell_angle_gamma 63.46
loop_
_space_group_symop_operation_xyz
'x,y,z'
loop_
_atom_site_label
_atom_site_type_symbol
_atom_site_fract_x
_atom_site_fract_y
_atom_site_fract_z
Sn1 Sn 0.0000 0.0000 0.0000
Pd1 Pd 0.1159 0.1159 0.5407
Pd2 Pd 0.8841 0.8841 0.4593
Au1 Au 0.2303 0.2303 0.1031
Au2 Au 0.2458 0.6163 0.2147
Au3 Au 0.3519 0.3519 0.6697
Au4 Au 0.3837 0.7542 0.7853
Au5 Au 0.6163 0.2458 0.2147
Au6 Au 0.6481 0.6481 0.3303
Au7 Au 0.7542 0.3837 0.7853
Au8 Au 0.7697 0.7697 0.8969
```

# 2
# SnPdAu2

SnPdAu2 after structural relaxation (PBE, Alexandria via LeMat-Bulk).

E = -4.034 eV per atom

The structure in CIF format:
```
data_SnPdAu2
_space_group_name_H-M_alt 'P 1'
_space_group_IT_number 1
_cell_length_a 7.6552
_cell_length_b 7.6552
_cell_length_c 5.4609
_cell_angle_alpha 90.00
_cell_angle_beta 90.00
_cell_angle_gamma 90.00
loop_
_space_group_symop_operation_xyz
'x,y,z'
loop_
_atom_site_label
_atom_site_type_symbol
_atom_site_fract_x
_atom_site_fract_y
_atom_site_fract_z
Sn1 Sn 0.0000 0.0000 0.0000
Sn2 Sn 0.0000 0.5000 0.2500
Sn3 Sn 0.5000 0.0000 0.7500
Sn4 Sn 0.5000 0.5000 0.5000
Pd1 Pd 0.0000 0.0000 0.5000
Pd2 Pd 0.0000 0.5000 0.7500
Pd3 Pd 0.5000 0.0000 0.2500
Pd4 Pd 0.5000 0.5000 0.0000
Au1 Au 0.2467 0.7500 0.6250
Au2 Au 0.2500 0.2467 0.3750
Au3 Au 0.2500 0.2533 0.8750
Au4 Au 0.2533 0.7500 0.1250
Au5 Au 0.7467 0.2500 0.1250
Au6 Au 0.7500 0.7467 0.8750
Au7 Au 0.7500 0.7533 0.3750
Au8 Au 0.7533 0.2500 0.6250
```

# 3
# Sn2Pd4Au

Sn2Pd4Au after structural relaxation (PBE, Alexandria via LeMat-Bulk).

Energy relative to the lowest polymorph listed for this composition = 14.5 kJ per mole of atoms

The structure in CIF format:
```
data_Sn2Pd4Au
_space_group_name_H-M_alt 'P 1'
_space_group_IT_number 1
_cell_length_a 3.9062
_cell_length_b 3.9062
_cell_length_c 18.9181
_cell_angle_alpha 90.00
_cell_angle_beta 90.00
_cell_angle_gamma 90.00
loop_
_space_group_symop_operation_xyz
'x,y,z'
loop_
_atom_site_label
_atom_site_type_symbol
_atom_site_fract_x
_atom_site_fract_y
_atom_site_fract_z
Sn1 Sn 0.0000 0.0000 0.1378
Sn2 Sn 0.0000 0.0000 0.8622
Sn3 Sn 0.5000 0.5000 0.3622
Sn4 Sn 0.5000 0.5000 0.6378
Pd1 Pd 0.0000 0.0000 0.3609
Pd2 Pd 0.0000 0.0000 0.6391
Pd3 Pd 0.0000 0.5000 0.2500
Pd4 Pd 0.0000 0.5000 0.7500
Pd5 Pd 0.5000 0.0000 0.2500
Pd6 Pd 0.5000 0.0000 0.7500
Pd7 Pd 0.5000 0.5000 0.1391
Pd8 Pd 0.5000 0.5000 0.8609
Au1 Au 0.0000 0.0000 0.5000
Au2 Au 0.5000 0.5000 0.0000
```

# 4
# Sn2Pd12Au5

Sn2Pd12Au5 after structural relaxation (PBE, Alexandria via LeMat-Bulk).

E = -4.746 eV per atom

The structure in CIF format:
```
data_Sn2Pd12Au5
_space_group_name_H-M_alt 'P 1'
_space_group_IT_number 1
_cell_length_a 7.6116
_cell_length_b 7.6116
_cell_length_c 6.0138
_cell_angle_alpha 91.61
_cell_angle_beta 91.61
_cell_angle_gamma 68.71
loop_
_space_group_symop_operation_xyz
'x,y,z'
loop_
_atom_site_label
_atom_site_type_symbol
_atom_site_fract_x
_atom_site_fract_y
_atom_site_fract_z
Sn1 Sn 0.2478 0.7522 0.0000
Sn2 Sn 0.7522 0.2478 0.0000
Pd1 Pd 0.0557 0.5558 0.8005
Pd2 Pd 0.1236 0.1236 0.9079
Pd3 Pd 0.1664 0.6299 0.3912
Pd4 Pd 0.3701 0.8336 0.6088
Pd5 Pd 0.4442 0.9443 0.1995
Pd6 Pd 0.4512 0.4512 0.7124
Pd7 Pd 0.5488 0.5488 0.2876
Pd8 Pd 0.5558 0.0557 0.8005
Pd9 Pd 0.6299 0.1664 0.3912
Pd10 Pd 0.8336 0.3701 0.6088
Pd11 Pd 0.8764 0.8764 0.0921
Pd12 Pd 0.9443 0.4442 0.1995
Au1 Au 0.0000 0.0000 0.5000
Au2 Au 0.2350 0.2350 0.5129
Au3 Au 0.3305 0.3305 0.0955
Au4 Au 0.6695 0.6695 0.9045
Au5 Au 0.7650 0.7650 0.4871
```

# 5
# Sn4PdAu

Sn4PdAu after structural relaxation (PBE, Alexandria via LeMat-Bulk).

Energy relative to the lowest polymorph listed for this composition = 0.0 kJ per mole of atoms

The structure in CIF format:
```
data_Sn4PdAu
_space_group_name_H-M_alt 'P 1'
_space_group_IT_number 1
_cell_length_a 4.6814
_cell_length_b 4.6814
_cell_length_c 6.7585
_cell_angle_alpha 90.00
_cell_angle_beta 90.00
_cell_angle_gamma 90.00
loop_
_space_group_symop_operation_xyz
'x,y,z'
loop_
_atom_site_label
_atom_site_type_symbol
_atom_site_fract_x
_atom_site_fract_y
_atom_site_fract_z
Sn1 Sn 0.0000 0.5000 0.2410
Sn2 Sn 0.0000 0.5000 0.7590
Sn3 Sn 0.5000 0.0000 0.2410
Sn4 Sn 0.5000 0.0000 0.7590
Pd1 Pd 0.0000 0.0000 0.0000
Au1 Au 0.5000 0.5000 0.5000
```

# 6
# Sn2Pd5Au2

Sn2Pd5Au2 after structural relaxation (PBE, Alexandria via LeMat-Bulk).

E = -4.739 eV per atom

The structure in CIF format:
```
data_Sn2Pd5Au2
_space_group_name_H-M_alt 'P 1'
_space_group_IT_number 1
_cell_length_a 8.8506
_cell_length_b 8.8506
_cell_length_c 8.8506
_cell_angle_alpha 72.12
_cell_angle_beta 147.47
_cell_angle_gamma 117.64
loop_
_space_group_symop_operation_xyz
'x,y,z'
loop_
_atom_site_label
_atom_site_type_symbol
_atom_site_fract_x
_atom_site_fract_y
_atom_site_fract_z
Sn1 Sn 0.0614 0.1315 0.1929
Sn2 Sn 0.0614 0.3685 0.4300
Sn3 Sn 0.9386 0.6315 0.5700
Sn4 Sn 0.9386 0.8685 0.8071
Pd1 Pd 0.0003 0.0013 0.4990
Pd2 Pd 0.0017 0.3980 0.8984
Pd3 Pd 0.0017 0.6032 0.1037
Pd4 Pd 0.4995 0.1032 0.1016
Pd5 Pd 0.5002 0.3000 0.3010
Pd6 Pd 0.5002 0.6992 0.7002
Pd7 Pd 0.4995 0.8980 0.8963
Pd8 Pd 0.5024 0.5013 0.5010
Pd9 Pd 0.9990 0.1992 0.6990
Pd10 Pd 0.9990 0.8000 0.2998
Au1 Au 0.4351 0.7510 0.1841
Au2 Au 0.4994 0.4994 0.0000
Au3 Au 0.4994 0.9994 0.5000
Au4 Au 0.5669 0.2510 0.8159
```

# 7
# SnPdAu3

SnPdAu3 after structural relaxation (PBE, Alexandria via LeMat-Bulk).

Energy relative to the lowest polymorph listed for this composition = 58.9 kJ per mole of atoms

The structure in CIF format:
```
data_SnPdAu3
_space_group_name_H-M_alt 'P 1'
_space_group_IT_number 1
_cell_length_a 5.0426
_cell_length_b 5.0426
_cell_length_c 5.0426
_cell_angle_alpha 90.00
_cell_angle_beta 90.00
_cell_angle_gamma 90.00
loop_
_space_group_symop_operation_xyz
'x,y,z'
loop_
_atom_site_label
_atom_site_type_symbol
_atom_site_fract_x
_atom_site_fract_y
_atom_site_fract_z
Sn1 Sn 0.0000 0.0000 0.0000
Pd1 Pd 0.5000 0.5000 0.5000
Au1 Au 0.0000 0.5000 0.5000
Au2 Au 0.5000 0.0000 0.5000
Au3 Au 0.5000 0.5000 0.0000
```

# 8
# Sn4Pd15Au

Sn4Pd15Au after structural relaxation (PBE, Alexandria via LeMat-Bulk).

E = -5.264 eV per atom

The structure in CIF format:
```
data_Sn4Pd15Au
_space_group_name_H-M_alt 'P 1'
_space_group_IT_number 1
_cell_length_a 4.0399
_cell_length_b 4.0399
_cell_length_c 20.0975
_cell_angle_alpha 90.00
_cell_angle_beta 90.00
_cell_angle_gamma 90.00
loop_
_space_group_symop_operation_xyz
'x,y,z'
loop_
_atom_site_label
_atom_site_type_symbol
_atom_site_fract_x
_atom_site_fract_y
_atom_site_fract_z
Sn1 Sn 0.0000 0.0000 0.1007
Sn2 Sn 0.0000 0.0000 0.3032
Sn3 Sn 0.0000 0.0000 0.6968
Sn4 Sn 0.0000 0.0000 0.8993
Pd1 Pd 0.0000 0.5000 0.0000
Pd2 Pd 0.0000 0.5000 0.2008
Pd3 Pd 0.0000 0.5000 0.3998
Pd4 Pd 0.0000 0.5000 0.6002
Pd5 Pd 0.0000 0.5000 0.7992
Pd6 Pd 0.5000 0.0000 0.0000
Pd7 Pd 0.5000 0.0000 0.2008
Pd8 Pd 0.5000 0.0000 0.3998
Pd9 Pd 0.5000 0.0000 0.6002
Pd10 Pd 0.5000 0.0000 0.7992
Pd11 Pd 0.5000 0.5000 0.1002
Pd12 Pd 0.5000 0.5000 0.2995
Pd13 Pd 0.5000 0.5000 0.5000
Pd14 Pd 0.5000 0.5000 0.7005
Pd15 Pd 0.5000 0.5000 0.8998
Au1 Au 0.0000 0.0000 0.5000
```

# 9
# Sn2Pd7Au

Sn2Pd7Au after structural relaxation (PBE, Alexandria via LeMat-Bulk).

E = -4.726 eV per atom

The structure in CIF format:
```
data_Sn2Pd7Au
_space_group_name_H-M_alt 'P 1'
_space_group_IT_number 1
_cell_length_a 7.8665
_cell_length_b 7.8665
_cell_length_c 4.1013
_cell_angle_alpha 90.00
_cell_angle_beta 90.00
_cell_angle_gamma 124.22
loop_
_space_group_symop_operation_xyz
'x,y,z'
loop_
_atom_site_label
_atom_site_type_symbol
_atom_site_fract_x
_atom_site_fract_y
_atom_site_fract_z
Sn1 Sn 0.1931 0.8069 0.0000
Sn2 Sn 0.8069 0.1931 0.0000
Pd1 Pd 0.0000 0.0000 0.0000
Pd2 Pd 0.2106 0.4174 0.0000
Pd3 Pd 0.3059 0.6941 0.5000
Pd4 Pd 0.4174 0.2106 0.0000
Pd5 Pd 0.5826 0.7894 0.0000
Pd6 Pd 0.6941 0.3059 0.5000
Pd7 Pd 0.7894 0.5826 0.0000
Au1 Au 0.5000 0.5000 0.5000
```

# 10
# Sn2Pd8Au

Sn2Pd8Au after structural relaxation (PBE, Alexandria via LeMat-Bulk).

Energy relative to the lowest polymorph listed for this composition = 0.0 kJ per mole of atoms

The structure in CIF format:
```
data_Sn2Pd8Au
_space_group_name_H-M_alt 'P 1'
_space_group_IT_number 1
_cell_length_a 7.3951
_cell_length_b 7.3951
_cell_length_c 7.3951
_cell_angle_alpha 146.82
_cell_angle_beta 120.62
_cell_angle_gamma 69.74
loop_
_space_group_symop_operation_xyz
'x,y,z'
loop_
_atom_site_label
_atom_site_type_symbol
_atom_site_fract_x
_atom_site_fract_y
_atom_site_fract_z
Sn1 Sn 0.1860 0.1860 0.0000
Sn2 Sn 0.8140 0.8140 0.0000
Pd1 Pd 0.0694 0.3412 0.7283
Pd2 Pd 0.2090 0.0000 0.2090
Pd3 Pd 0.3466 0.8466 0.5000
Pd4 Pd 0.3871 0.6588 0.7283
Pd5 Pd 0.6129 0.3412 0.2717
Pd6 Pd 0.6534 0.1534 0.5000
Pd7 Pd 0.7910 0.0000 0.7910
Pd8 Pd 0.9306 0.6588 0.2717
Au1 Au 0.5000 0.5000 0.0000
```

| no. | total magnetization (μB/cell) |
| --- | --- |
| 1 | 0.00 |
| 2 | 0.00 |
| 3 | 0.00 |
| 4 | 0.00 |
| 5 | 0.00 |
| 6 | 0.00 |
| 7 | 0.00 |
| 8 | 0.00 |
| 9 | 0.00 |
| 10 | 0.00 |